# BaMo3C, optimized geometry, DFT PBE
data_BaMo3C
_cell_length_a 4.956
_cell_length_b 4.956
_cell_length_c 4.956
_cell_angle_alpha 90.00
_cell_angle_beta 90.00
_cell_angle_gamma 90.00
_space_group_name_H-M_alt 'P m -3 m'
_space_group_IT_number 221
_space_group_name_Hall '-P 4 2 3'
loop_
_atom_site_label
_atom_site_type_symbol
_atom_site_fract_x
_atom_site_fract_y
_atom_site_fract_z
Ba1 Ba 0.000 0.000 0.000
Mo1 Mo 0.000 0.000 0.500
C1 C 0.500 0.500 0.500
# - E_form: 4.393 eV per atom
# - Calculated total energy: -21.67 eV/cell
# - Calculated volume: 122 Å³ per cell
# - E above lowest polymorph: 3.3776 eV/atom